Version i
The following is a PBE calculation of RePb3W after structural relaxation, from Alexandria.

a b c (Å): 5.391 5.391 5.391
angles (deg): 90.00 90.00 90.00
Each line ends with the local moment (μB).
Positions (direct):
1 W 0.000 0.000 0.000  0.66
2 Re 0.500 0.500 0.500  3.66
3 Pb 0.500 0.000 0.000  -0.04
4 Pb 0.000 0.500 0.000  -0.02
5 Pb 0.000 0.000 0.500  -0.01

The value obtained for the density of states at the Fermi level is 4.2 states/eV/f.u. Its space group is Pm-3m (221).

Version ii
The following is a PBE calculation of RePb3W after structural relaxation, from Alexandria.

a b c (Å): 5.321 5.321 5.321
angles (deg): 90.00 90.00 90.00
Each line ends with the local moment (μB).
Positions (direct):
1 W 0.500 0.500 0.500  3.27
2 Re 0.000 0.000 0.000  0.41
3 Pb 0.500 0.000 0.000  -0.01
4 Pb 0.000 0.000 0.500  0.01
5 Pb 0.000 0.500 0.000  0.00

The value obtained for the density of states at the Fermi level is 1.7 states/eV/f.u. Its space group is Pm-3m (221).

Most favorable structure: version ii. The second most favorable one is 0.084 eV/atom above it.

Version i
The following is a PBE calculation of RePbW after structural relaxation, from Alexandria.

a b c (Å): 4.454 4.454 4.454
angles (deg): 60.00 60.00 60.00
Positions (direct):
1 Pb 0.500 0.500 0.500
2 W 0.000 0.000 0.000
3 Re 0.750 0.750 0.750

The value obtained for the density of states at the Fermi level is 1.7 states/eV/f.u. Its space group is F-43m (216).

Version ii
The following is a PBE calculation of RePbW after structural relaxation, from Alexandria.

a b c (Å): 3.183 3.183 6.980
angles (deg): 90.00 90.00 120.00
Positions (direct):
1 W 0.667 0.333 0.620
2 Pb 0.000 0.000 0.001
3 Re 0.333 0.667 0.380

The value obtained for the density of states at the Fermi level is 2.3 states/eV/f.u. Its space group is P3m1 (156).

Most favorable structure: version ii. The second most favorable one is 0.190 eV/atom above it.

Version i
The following is a PBE calculation of RePbW after structural relaxation, from Alexandria.

a b c (Å): 4.629 4.629 2.921
angles (deg): 90.00 90.00 120.00
Positions (direct):
1 Pb 0.000 0.000 0.167
2 W 0.333 0.667 0.668
3 Re 0.667 0.333 0.165

The value obtained for the density of states at the Fermi level is 2.2 states/eV/f.u. Its space group is P3m1 (156).

Version ii
The following is a PBE calculation of RePbW after structural relaxation, from Alexandria.

a b c (Å): 6.392 6.392 6.392
angles (deg): 151.66 151.66 40.51
Positions (direct):
1 Re 0.308 0.308 0.000
2 Pb 0.998 0.998 0.000
3 W 0.694 0.694 0.000

The value obtained for the density of states at the Fermi level is 3.0 states/eV/f.u. Its space group is I4mm (107).

Version iii
The following is a PBE calculation of RePbW after structural relaxation, from Alexandria.

a b c (Å): 7.788 7.562 2.956
angles (deg): 83.23 74.63 22.14
Positions (direct):
1 Pb 0.000 0.000 0.000
2 W 0.685 0.685 0.315
3 Re 0.315 0.315 0.685

The value obtained for the density of states at the Fermi level is 2.1 states/eV/f.u. Its space group is Fmm2 (42).

Most favorable structure: version ii. The second most favorable one is 0.182 eV/atom above it.

Version i
The following is a PBE calculation of YRePb2 after structural relaxation, from Alexandria.

a b c (Å): 6.861 6.861 6.861
angles (deg): 150.95 139.92 50.26
Positions (direct):
1 Re 0.502 0.502 0.000
2 Pb 0.694 0.194 0.500
3 Pb 0.994 0.994 0.000
4 Y 0.309 0.809 0.500

The value obtained for the density of states at the Fermi level is 3.1 states/eV/f.u. Its space group is Imm2 (44).

Version ii
The following is a PBE calculation of YRePb2 after structural relaxation, from Alexandria.

a b c (Å): 5.954 5.954 5.954
angles (deg): 145.46 125.02 66.58
Positions (direct):
1 Y 0.250 0.750 0.500
2 Pb 0.972 0.972 0.000
3 Re 0.750 0.250 0.500
4 Pb 0.528 0.528 0.000

The value obtained for the density of states at the Fermi level is 2.6 states/eV/f.u. Its space group is Immm (71).

Version iii
The following is a PBE calculation of YRePb2 after structural relaxation, from Alexandria.

a b c (Å): 4.964 3.630 5.759
angles (deg): 71.65 90.00 90.00
Positions (direct):
1 Pb 0.500 0.435 0.254
2 Re 0.000 0.309 0.507
3 Pb 0.000 0.043 0.039
4 Y 0.500 0.713 0.700

The value obtained for the density of states at the Fermi level is 3.4 states/eV/f.u. Its space group is Amm2 (38).

Most favorable structure: version ii. The second most favorable one is 0.071 eV/atom above it.